Entry 1:
A crystal of Sr2TlTc relaxed with PBEsol, computed with SCAN.

Computed properties:
The calculation puts the mass density at 7.156 g/cm³. The calculated total energy comes out at -37.5793 eV per atom. The value obtained for the density of states at the Fermi level is 0.744 states/eV/atom.

Cell lengths 5.513, 5.513, 3.649 Å; angles 90.00, 90.00, 92.03 degrees
Fractional coordinates of all 4 atoms:
Sr: 0.000 0.500 0.000
Sr: 0.500 0.000 0.000
Tl: 0.000 0.000 0.500
Tc: 0.500 0.500 0.500

Entry 2:
A crystal of Sr2MnCd relaxed with PBEsol, computed with SCAN.

Computed properties:
The calculation puts the mass density at 4.720 g/cm³. The calculated total energy comes out at -23.3254 eV per atom. The value obtained for the density of states at the Fermi level is 0.773 states/eV/atom.

Cell lengths 6.553, 6.553, 6.553 Å; angles 145.28, 130.57, 61.82 degrees
Fractional coordinates of all 4 atoms:
Sr: 0.000 0.000 0.000
Sr: 0.708 0.208 0.500
Mn: 0.437 0.437 0.000
Cd: 0.266 0.766 0.500

Entry 3:
A crystal of Ag2HgP relaxed with PBEsol, computed with SCAN.

Computed properties:
The calculation puts the mass density at 10.675 g/cm³. The calculated total energy comes out at -35.0435 eV per atom. The value obtained for the density of states at the Fermi level is 0.339 states/eV/atom.

Cell lengths 8.866, 8.866, 8.866 Å; angles 19.75, 19.75, 19.75 degrees
Fractional coordinates of all 4 atoms:
Ag: 0.243 0.243 0.243
Ag: 0.757 0.757 0.757
Hg: 0.000 0.000 0.000
P: 0.500 0.500 0.500

Entry 4:
A crystal of ReSnAsBr2 relaxed with PBEsol, computed with SCAN.

Computed properties:
The calculation puts the mass density at 5.881 g/cm³. The calculated total energy comes out at -31.8890 eV per atom. The formation energy without anion corrections comes out at 30.824 kcal/mol of atoms. The value obtained for the density of states at the Fermi level is 0.363 states/eV/atom.

Cell lengths 5.296, 5.296, 5.432 Å; angles 90.00, 90.00, 90.00 degrees
Fractional coordinates of all 5 atoms:
Re: 0.000 0.000 0.000
Sn: 0.500 0.500 0.500
As: 0.500 0.500 0.000
Br: 0.000 0.500 0.500
Br: 0.500 0.000 0.500

Entry 5:
A crystal of NaSbTe2C relaxed with PBEsol, computed with SCAN.

Computed properties:
The calculation puts the mass density at 5.938 g/cm³. The calculated total energy comes out at -24.5113 eV per atom. The formation energy without anion corrections comes out at 16.240 kcal/mol of atoms. The value obtained for the density of states at the Fermi level is 0.419 states/eV/atom.

Cell lengths 4.982, 4.982, 4.642 Å; angles 90.00, 90.00, 90.00 degrees
Fractional coordinates of all 5 atoms:
Na: 0.000 0.000 0.000
Sb: 0.500 0.500 0.000
Te: 0.000 0.500 0.500
Te: 0.500 0.000 0.500
C: 0.500 0.500 0.500

Entry 6:
A crystal of MgSi relaxed with PBEsol, computed with SCAN.

Computed properties:
The calculation puts the mass density at 2.354 g/cm³. The calculated total energy comes out at -7.4898 eV per atom. The formation energy without anion corrections comes out at 0.115 kcal/mol of atoms. The value obtained for the density of states at the Fermi level is 0.304 states/eV/atom.

Cell lengths 4.061, 3.639, 5.389 Å; angles 90.00, 111.85, 90.00 degrees
Fractional coordinates of all 4 atoms:
Mg: 0.147 0.250 0.295
Mg: 0.853 0.750 0.705
Si: 0.422 0.250 0.845
Si: 0.578 0.750 0.155

Entry 7:
A crystal of MgZnNi2 relaxed with PBEsol, computed with SCAN.

Computed properties:
The calculation puts the mass density at 6.944 g/cm³. The calculated total energy comes out at -12.8198 eV per atom. The value obtained for the density of states at the Fermi level is 0.506 states/eV/atom.

Cell lengths 4.562, 4.562, 4.562 Å; angles 133.22, 133.22, 68.32 degrees
Fractional coordinates of all 4 atoms:
Mg: 0.000 0.000 0.000
Zn: 0.250 0.750 0.500
Ni: 0.500 0.500 0.000
Ni: 0.750 0.250 0.500

Entry 8:
A crystal of Li2Al2Bi relaxed with PBEsol, computed with SCAN.

Computed properties:
The calculation puts the mass density at 4.691 g/cm³. The calculated total energy comes out at -19.8141 eV per atom. The value obtained for the density of states at the Fermi level is 0.313 states/eV/atom.

Cell lengths 7.968, 7.968, 3.087 Å; angles 90.00, 90.00, 90.00 degrees
Fractional coordinates of all 10 atoms:
Li: 0.179 0.321 0.000
Li: 0.321 0.821 0.000
Li: 0.679 0.179 0.000
Li: 0.821 0.679 0.000
Al: 0.117 0.617 0.500
Al: 0.383 0.117 0.500
Al: 0.617 0.883 0.500
Al: 0.883 0.383 0.500
Bi: 0.000 0.000 0.500
Bi: 0.500 0.500 0.500

Entry 9:
A crystal of SiSbS2 relaxed with PBEsol, computed with SCAN.

Computed properties:
The calculation puts the mass density at 4.893 g/cm³. The calculated total energy comes out at -16.1920 eV per atom. The formation energy without anion corrections comes out at 10.172 kcal/mol of atoms. The value obtained for the density of states at the Fermi level is 0.278 states/eV/atom.

Cell lengths 4.683, 4.683, 4.683 Å; angles 60.00, 60.00, 60.00 degrees
Fractional coordinates of all 4 atoms:
Si: 0.000 0.000 0.000
Sb: 0.500 0.500 0.500
S: 0.250 0.250 0.250
S: 0.750 0.750 0.750

Entry 10:
A crystal of FeRuPt2 relaxed with PBEsol, computed with SCAN.

Computed properties:
The calculation puts the mass density at 16.476 g/cm³. The calculated total energy comes out at -48.5270 eV per atom. The value obtained for the density of states at the Fermi level is 0.790 states/eV/atom.

Cell lengths 2.681, 4.361, 4.716 Å; angles 90.00, 90.00, 90.00 degrees
Fractional coordinates of all 4 atoms:
Fe: 0.000 0.000 0.000
Ru: 0.000 0.500 0.326
Pt: 0.500 0.000 0.486
Pt: 0.500 0.500 0.831

Entry 11:
A crystal of Al3BAs relaxed with PBEsol, computed with SCAN.

Computed properties:
The calculation puts the mass density at 2.577 g/cm³. The calculated total energy comes out at -8.6917 eV per atom. The value obtained for the density of states at the Fermi level is 0.532 states/eV/atom.

Cell lengths 4.754, 4.754, 4.754 Å; angles 90.00, 90.00, 90.00 degrees
Fractional coordinates of all 5 atoms:
Al: 0.000 0.000 0.500
Al: 0.000 0.500 0.000
Al: 0.500 0.000 0.000
B: 0.500 0.500 0.500
As: 0.000 0.000 0.000

Entry 12:
A crystal of Re2As relaxed with PBEsol, computed with SCAN.

Computed properties:
The calculation puts the mass density at 15.407 g/cm³. The calculated total energy comes out at -53.2401 eV per atom. The value obtained for the density of states at the Fermi level is 1.175 states/eV/atom.

Cell lengths 4.085, 4.085, 4.085 Å; angles 60.00, 60.00, 60.00 degrees
Fractional coordinates of all 3 atoms:
Re: 0.250 0.250 0.250
Re: 0.750 0.750 0.750
As: 0.000 0.000 0.000